This record from Alexandria via LeMat-Bulk describes a geometry-optimized CoReRh2S structure. The functional is PBE-GGA.

Values from the calculation:
The uncorrected formation energy is 130 kJ per mole of atoms.

Cell: 4.595 3.916 4.595 Å, 90.00 90.00 90.00°
Each line ends with the local moment (μB).
Element x y z (fractional)
S 0.000 0.500 0.000  0.01
Rh 0.000 0.000 0.500  0.80
Rh 0.500 0.000 0.000  0.50
Re 0.500 0.500 0.500  2.28
Co 0.000 0.000 0.000  0.79

***

This record from Alexandria via LeMat-Bulk describes a geometry-optimized CoReTe2Rh structure. The functional is PBE-GGA.

Values from the calculation:
The uncorrected formation energy is 135 kJ per mole of atoms.

Cell: 5.127 5.127 4.825 Å, 90.00 90.00 90.00°
Each line ends with the local moment (μB).
Element x y z (fractional)
Te 0.500 0.000 0.000  0.01
Te 0.000 0.500 0.000  0.01
Re 0.000 0.000 0.000  -0.06
Co 0.500 0.500 0.500  2.16
Rh 0.000 0.000 0.500  0.10

***

This record from Alexandria via LeMat-Bulk describes a geometry-optimized CoReRu2 structure. The functional is PBE-GGA.

Values from the calculation:
Its distance to the lowest polymorph of the same formula is 0.246 eV/atom.

Cell: 4.272 4.272 4.272 Å, 60.00 60.00 60.00°
Each line ends with the local moment (μB).
Element x y z (fractional)
Co 0.000 0.000 0.000  1.65
Ru 0.250 0.250 0.250  0.26
Ru 0.750 0.750 0.750  0.26
Re 0.500 0.500 0.500  -0.31

***

This record from Alexandria via LeMat-Bulk describes a geometry-optimized CoReRu structure. The functional is PBE-GGA.

Values from the calculation:
Its distance to the lowest polymorph of the same formula is 0.081 eV/atom.

Cell: 2.692 2.692 6.428 Å, 90.00 90.00 120.00°
Each line ends with the local moment (μB).
Element x y z (fractional)
Ru 0.333 0.667 0.670  -0.05
Re 0.667 0.333 0.329  -0.07
Co 0.000 0.000 0.001  1.08

***

This record from Alexandria via LeMat-Bulk describes a geometry-optimized CoReRu structure. The functional is PBE-GGA.

Values from the calculation:
Its distance to the lowest polymorph of the same formula is 0.261 eV/atom.

Cell: 5.794 2.672 7.190 Å, 90.00 48.18 90.00°
Element x y z (fractional)
Co 0.732 0.750 0.319
Co 0.268 0.250 0.681
Ru 0.228 0.250 0.077
Ru 0.772 0.750 0.923
Re 0.269 0.750 0.377
Re 0.731 0.250 0.623

***

This record from Alexandria via LeMat-Bulk describes a geometry-optimized CoReRu2 structure. The functional is PBE-GGA.

Values from the calculation:
Its distance to the lowest polymorph of the same formula is 0.003 eV/atom.

Cell: 4.572 4.572 4.572 Å, 130.82 130.82 72.09°
Element x y z (fractional)
Re 0.750 0.250 0.500
Ru 0.500 0.500 0.000
Ru 0.000 0.000 0.000
Co 0.250 0.750 0.500

***

Electronic total energy, respectively: -6.33 -5.24 -9.21 -9.47 -9.29 -9.45 eV per atom.